Record 1
VASP calculation (PBE-GGA) on an optimized crystal structure of CsIn3Hg2.

Lattice parameters (Å, degrees): 6.587 6.587 5.084 90.00 90.00 120.00
Atoms (fractional coordinates):
Cs1 0.000 0.000 0.500
In1 0.500 0.000 0.000
In2 0.500 0.500 0.000
In3 0.000 0.500 0.000
Hg1 0.667 0.333 0.500
Hg2 0.333 0.667 0.500

## Properties
- Fermi-level density of states: 3.06 states/eV/f.u.
- Volume: 31.8 A^3/atom
- Size of the total moment: 0.00 μB per cell
- Uncorrected energy: -0.063 hartree per atom


Record 2
VASP calculation (PBE-GGA) on an optimized crystal structure of Cs3InHg4.

Lattice parameters (Å, degrees): 7.483 7.600 8.270 117.36 116.90 90.00
Atoms (fractional coordinates):
Cs1 0.743 0.306 0.612
Cs2 0.167 0.000 0.000
Cs3 0.131 0.694 0.388
Hg1 0.665 0.743 0.485
Hg2 0.180 0.257 0.515
Hg3 0.668 0.191 0.000
Hg4 0.668 0.809 0.000
In1 0.429 0.500 0.000

## Properties
- Fermi-level density of states: 3.92 states/eV/f.u.
- Volume: 44.9 A^3/atom
- Size of the total moment: 0.00 μB per cell
- Uncorrected energy: -0.036 hartree per atom


Record 3
VASP calculation (PBE-GGA) on an optimized crystal structure of CsIn10Hg2.

Lattice parameters (Å, degrees): 6.404 8.361 8.363 81.57 67.49 67.48
Atoms (fractional coordinates):
Cs1 0.000 0.000 0.000
In1 0.359 0.642 0.641
In2 0.641 0.358 0.359
In3 0.000 0.358 0.641
In4 0.000 0.642 0.359
In5 0.000 0.000 0.500
In6 0.500 0.000 0.500
In7 0.282 0.221 0.214
In8 0.718 0.779 0.786
In9 0.503 0.779 0.214
In10 0.497 0.221 0.786
Hg1 0.000 0.500 0.000
Hg2 0.500 0.500 0.000

## Properties
- Fermi-level density of states: 6.23 states/eV/f.u.
- Volume: 29.4 A^3/atom
- Size of the total moment: 0.00 μB per cell
- Uncorrected energy: -0.082 hartree per atom


uncorrected energy of number 1 (CsIn3Hg2)? -0.063 hartree per atom


The lowest uncorrected energy belongs to which entry? CsIn10Hg2